Record 1
Density functional theory data (GGA-PBE) for an optimized crystal structure of Ce2SO2.

The structure in CIF format:
```
data_Ce2SO2
_cell_length_a 3.8793
_cell_length_b 3.8793
_cell_length_c 12.2358
_cell_angle_alpha 90.00
_cell_angle_beta 90.00
_cell_angle_gamma 90.00
_symmetry_space_group_name_H-M 'I 4/m m m'
_symmetry_Int_Tables_number 139
_symmetry_space_group_name_Hall '-I 4 2'
loop_
_atom_site_label
_atom_site_fract_x
_atom_site_fract_y
_atom_site_fract_z
Ce1 0.0000 0.0000 0.1457
S1 0.0000 0.0000 0.5000
O1 0.0000 0.5000 0.2500
```

Output
- Energy relative to the elements, uncorrected: -2.925 eV per atom
- Fermi-level density of states: 20.13 states/eV per cell

Record 2
Density functional theory data (GGA-PBE) for an optimized crystal structure of K2RbBaCd.

The structure in CIF format:
```
data_K2RbBaCd
_cell_length_a 7.0233
_cell_length_b 7.0233
_cell_length_c 6.8095
_cell_angle_alpha 90.00
_cell_angle_beta 90.00
_cell_angle_gamma 90.00
_symmetry_space_group_name_H-M 'P 4/m m m'
_symmetry_Int_Tables_number 123
_symmetry_space_group_name_Hall '-P 4 2'
loop_
_atom_site_label
_atom_site_fract_x
_atom_site_fract_y
_atom_site_fract_z
K1 0.0000 0.5000 0.0000
Rb1 0.0000 0.0000 0.5000
Ba1 0.5000 0.5000 0.5000
Cd1 0.5000 0.5000 0.0000
```

Output
- Fermi-level density of states: 4.63 states/eV per cell
- Energy relative to the elements: 39.9 meV per atom

Record 3
Density functional theory data (GGA-PBE) for an optimized crystal structure of TlGaRu3.

The structure in CIF format:
```
data_TlGaRu3
_cell_length_a 4.9610
_cell_length_b 4.9610
_cell_length_c 4.9610
_cell_angle_alpha 90.00
_cell_angle_beta 90.00
_cell_angle_gamma 90.00
_symmetry_space_group_name_H-M 'P m -3 m'
_symmetry_Int_Tables_number 221
_symmetry_space_group_name_Hall '-P 4 2 3'
loop_
_atom_site_label
_atom_site_fract_x
_atom_site_fract_y
_atom_site_fract_z
Tl1 0.0000 0.0000 0.0000
Ga1 0.5000 0.5000 0.5000
Ru1 0.0000 0.0000 0.5000
```

Output
- Fermi-level density of states: 6.77 states/eV per cell
- Energy relative to the elements: 2187.0 meV per atom

Record 4
Density functional theory data (GGA-PBE) for an optimized crystal structure of ThGeHRu.

The structure in CIF format:
```
data_ThGeHRu
_cell_length_a 4.2725
_cell_length_b 4.2725
_cell_length_c 7.1779
_cell_angle_alpha 90.00
_cell_angle_beta 90.00
_cell_angle_gamma 90.00
_symmetry_space_group_name_H-M 'P 4/n m m'
_symmetry_Int_Tables_number 129
loop_
_symmetry_equiv_pos_as_xyz
'x,y,z'
'-x,-y,-z'
'-y+1/2,x,z'
'y+1/2,-x,-z'
'-x+1/2,-y+1/2,z'
'x+1/2,y+1/2,-z'
'y,-x+1/2,z'
'-y,x+1/2,-z'
'x+1/2,-y,-z'
'-x+1/2,y,z'
'-y,-x,-z'
'y,x,z'
'-x,y+1/2,-z'
'x,-y+1/2,z'
'y+1/2,x+1/2,-z'
'-y+1/2,-x+1/2,z'
loop_
_atom_site_label
_atom_site_fract_x
_atom_site_fract_y
_atom_site_fract_z
Th1 0.2500 0.2500 0.1790
Ge1 0.2500 0.2500 0.6827
H1 0.2500 0.7500 0.0000
Ru1 0.2500 0.7500 0.5000
```

Output
- Calculated total energy: -6.86 eV/atom
- Fermi-level density of states: 4.20 states/eV per cell

Record 5
Density functional theory data (GGA-PBE) for an optimized crystal structure of CaDyMgCd.

The structure in CIF format:
```
data_CaDyMgCd
_cell_length_a 3.8462
_cell_length_b 3.8462
_cell_length_c 7.6034
_cell_angle_alpha 90.00
_cell_angle_beta 90.00
_cell_angle_gamma 90.00
_symmetry_space_group_name_H-M 'P 4 m m'
_symmetry_Int_Tables_number 99
loop_
_symmetry_equiv_pos_as_xyz
'x,y,z'
'-y,x,z'
'-x,-y,z'
'y,-x,z'
'-x,y,z'
'y,x,z'
'x,-y,z'
'-y,-x,z'
loop_
_atom_site_label
_atom_site_fract_x
_atom_site_fract_y
_atom_site_fract_z
Ca1 0.0000 0.0000 0.0000
Dy1 0.0000 0.0000 0.4847
Mg1 0.5000 0.5000 0.7300
Cd1 0.5000 0.5000 0.2577
```

Output
- Fermi-level density of states: 3.70 states/eV per cell
- Energy relative to the elements: -206.6 meV per atom

Record 6
Density functional theory data (GGA-PBE) for an optimized crystal structure of Zn2CuNi5.

The structure in CIF format:
```
data_Zn2CuNi5
_cell_length_a 3.6890
_cell_length_b 3.6890
_cell_length_c 13.6235
_cell_angle_alpha 90.00
_cell_angle_beta 90.00
_cell_angle_gamma 90.00
_symmetry_space_group_name_H-M 'I 4/m m m'
_symmetry_Int_Tables_number 139
_symmetry_space_group_name_Hall '-I 4 2'
loop_
_atom_site_label
_atom_site_fract_x
_atom_site_fract_y
_atom_site_fract_z
Zn1 0.0000 0.0000 0.2493
Cu1 0.0000 0.0000 0.0000
Ni1 0.0000 0.0000 0.5000
Ni2 0.0000 0.5000 0.1222
```

Output
- Fermi-level density of states: 14.65 states/eV per cell
- Energy relative to the elements: -87.1 meV per atom

Record 7
Density functional theory data (GGA-PBE) for an optimized crystal structure of SbMoH2Au.

The structure in CIF format:
```
data_SbMoH2Au
_cell_length_a 3.8375
_cell_length_b 3.8375
_cell_length_c 5.5364
_cell_angle_alpha 90.00
_cell_angle_beta 90.00
_cell_angle_gamma 90.00
_symmetry_space_group_name_H-M 'P 4/m m m'
_symmetry_Int_Tables_number 123
_symmetry_space_group_name_Hall '-P 4 2'
loop_
_atom_site_label
_atom_site_fract_x
_atom_site_fract_y
_atom_site_fract_z
Sb1 0.0000 0.0000 0.0000
Mo1 0.5000 0.5000 0.5000
H1 0.0000 0.5000 0.5000
Au1 0.5000 0.5000 0.0000
```

Output
- Calculated total energy: -4.41 eV/atom
- Fermi-level density of states: 1.71 states/eV per cell

Record 8
Density functional theory data (GGA-PBE) for an optimized crystal structure of MgZrAl.

The structure in CIF format:
```
data_MgZrAl
_cell_length_a 3.0760
_cell_length_b 3.0760
_cell_length_c 7.5915
_cell_angle_alpha 90.00
_cell_angle_beta 90.00
_cell_angle_gamma 120.00
_symmetry_space_group_name_H-M 'P 3 m 1'
_symmetry_Int_Tables_number 156
loop_
_symmetry_equiv_pos_as_xyz
'x,y,z'
'-y,x-y,z'
'-x+y,-x,z'
'-y,-x,z'
'-x+y,y,z'
'x,x-y,z'
loop_
_atom_site_label
_atom_site_fract_x
_atom_site_fract_y
_atom_site_fract_z
Mg1 0.0000 0.0000 0.0000
Zr1 0.6667 0.3333 0.3587
Al1 0.3333 0.6667 0.6794
```

Output
- Fermi-level density of states: 2.11 states/eV per cell
- Energy relative to the elements: -30.0 meV per atom